No. 1
InSb3C: optimized geometry, PBE.

```
InSb3C
1.0
4.875 0.000 0.000
0.000 4.875 0.000
0.000 0.000 4.875
In Sb C
1 3 1
Direct
0.000 0.000 0.000
0.000 0.500 0.500
0.500 0.000 0.500
0.500 0.500 0.000
0.500 0.500 0.500
```

Crystal system = cubic
SG = Pm-3m
M_tot = 0.00 μB per atom
Offset from the most stable computed form = 0.000 eV/f.u.
ΔE_f (raw) = 4.35 eV/f.u.


No. 2
ScAl2W: optimized geometry, PBE.

```
ScAl2W
1.0
4.614 -1.433 0.000
4.614 1.433 0.000
-0.692 0.000 5.308
Sc Al W
1 2 1
Direct
0.000 0.000 0.000
0.243 0.243 0.718
0.757 0.757 0.282
0.500 0.500 0.500
```

Crystal system = monoclinic
SG = C2/m
E_form = -0.0886 eV per atom
M_tot = 0.00 μB per atom
Offset from the most stable computed form = 0.459 eV/f.u.


No. 3
Ac2MgHPd6: optimized geometry, PBE.

```
Ac2MgHPd6
1.0
5.941 0.000 0.000
2.966 5.160 0.000
2.952 1.728 6.263
Ac Mg H Pd
2 1 1 6
Direct
0.235 0.235 0.296
0.765 0.765 0.704
0.500 0.500 0.500
0.000 0.000 0.000
0.226 0.727 0.819
0.227 0.226 0.818
0.272 0.775 0.181
0.728 0.225 0.819
0.773 0.774 0.182
0.774 0.273 0.181
```

Crystal system = triclinic
E = -50.8 eV for the cell shown
SG = P-1
M_tot = 0.00 μB per atom


No. 4
Nd2Cd3Hg: optimized geometry, PBE.

```
Nd2Cd3Hg
1.0
0.000 5.082 8.817
3.443 0.000 8.817
3.443 5.082 0.000
Nd Cd Hg
4 6 2
Direct
0.246 0.754 0.754
0.250 0.250 0.250
0.750 0.750 0.750
0.754 0.246 0.246
0.169 0.665 0.335
0.334 0.334 0.666
0.335 0.831 0.169
0.665 0.169 0.831
0.666 0.666 0.334
0.831 0.335 0.665
0.167 0.167 0.833
0.833 0.833 0.167
```

Crystal system = orthorhombic
SG = Fmmm
E_form = -0.3760 eV per atom
M_tot = 0.00 μB per atom


No. 5
CsHfAgI6: optimized geometry, PBE.

```
CsHfAgI6
1.0
7.797 0.000 0.000
-3.898 6.752 0.000
0.000 0.000 17.086
Cs Hf Ag I
2 2 2 12
Direct
0.000 0.000 0.000
0.000 0.000 0.500
0.333 0.667 0.250
0.667 0.333 0.750
0.333 0.667 0.750
0.667 0.333 0.250
0.021 0.384 0.152
0.021 0.637 0.348
0.363 0.384 0.348
0.363 0.979 0.152
0.384 0.021 0.652
0.384 0.363 0.848
0.616 0.637 0.152
0.616 0.979 0.348
0.637 0.021 0.848
0.637 0.616 0.652
0.979 0.363 0.652
0.979 0.616 0.848
```

Crystal system = trigonal
SG = P-31c
M_tot = 0.00 μB per atom
ΔE_f (raw) = -7.93 eV/f.u.


No. 6
Tb3Tl2Ag2: optimized geometry, PBE.

```
Tb3Tl2Ag2
1.0
2.285 -11.092 0.000
2.285 11.092 0.000
0.000 0.000 3.495
Tb Tl Ag
3 2 2
Direct
0.000 0.000 0.000
0.162 0.838 0.000
0.838 0.162 0.000
0.421 0.579 0.500
0.579 0.421 0.500
0.285 0.715 0.500
0.715 0.285 0.500
```

Crystal system = orthorhombic
SG = Cmmm
E_form = -0.3026 eV per atom
M_tot = 0.06 μB per atom


Please write out number 1 again, unchanged.
InSb3C: optimized geometry, PBE.

```
InSb3C
1.0
4.875 0.000 0.000
0.000 4.875 0.000
0.000 0.000 4.875
In Sb C
1 3 1
Direct
0.000 0.000 0.000
0.000 0.500 0.500
0.500 0.000 0.500
0.500 0.500 0.000
0.500 0.500 0.500
```

Crystal system = cubic
SG = Pm-3m
M_tot = 0.00 μB per atom
Offset from the most stable computed form = 0.000 eV/f.u.
ΔE_f (raw) = 4.35 eV/f.u.